# 1
Ce6In | GGA-PBE | optimized geometry

Values from the calculation:
Energy of formation: 0.768 eV/atom
Fermi-level density of states: 19.631 states/eV/f.u.
SG: Im-3m, No. 229
Final energy: -4.7092 eV/atom
M_tot: 0.00 μB/cell

a b c (Å): 6.583 6.583 6.583
angles (deg): 109.47 109.47 109.47
Fractional coordinates of all 7 atoms:
Ce 0.250 0.750 0.500
Ce 0.500 0.750 0.250
Ce 0.250 0.500 0.750
Ce 0.750 0.250 0.500
Ce 0.500 0.250 0.750
Ce 0.750 0.500 0.250
In 0.000 0.000 0.000

---

# 2
Ce7In3 | GGA-PBE | optimized geometry

Values from the calculation:
Energy of formation: -0.206 eV/atom
Fermi-level density of states: 29.030 states/eV/f.u.
SG: C2/m, No. 12
Final energy: -5.1812 eV/atom
M_tot: 4.86 μB/cell

a b c (Å): 4.476 6.864 9.073
angles (deg): 99.79 104.28 90.00
Each line ends with the local moment (μB).
Fractional coordinates of all 10 atoms:
Ce 0.000 0.500 0.000  0.71
Ce 0.810 0.921 0.620  0.47
Ce 0.190 0.079 0.380  0.47
Ce 0.588 0.326 0.177  0.64
Ce 0.412 0.674 0.823  0.64
Ce 0.615 0.841 0.230  0.58
Ce 0.385 0.159 0.770  0.58
In 0.000 0.000 0.000  -0.01
In 0.793 0.406 0.586  -0.01
In 0.207 0.594 0.414  -0.01

---

# 3
Ce5In3 | GGA-PBE | optimized geometry

Values from the calculation:
Polymorph energy (0 for the lowest one): 94.0 meV per atom
Energy of formation: -0.137 eV/atom
Fermi-level density of states: 22.960 states/eV/f.u.
SG: Fdd2, No. 43
Final energy: -4.8725 eV/atom
M_tot: 8.26 μB/cell

a b c (Å): 6.145 8.281 9.534
angles (deg): 83.13 71.20 68.22
Each line ends with the local moment (μB).
Fractional coordinates of all 16 atoms:
Ce 0.324 0.728 0.875  0.58
Ce 0.948 0.728 0.125  0.58
Ce 0.448 0.228 0.625  0.58
Ce 0.323 0.228 0.375  0.58
Ce 0.798 0.099 0.177  0.71
Ce 0.102 0.099 0.823  0.71
Ce 0.226 0.599 0.323  0.71
Ce 0.175 0.599 0.677  0.71
Ce 0.015 0.971 0.500  0.85
Ce 0.765 0.471 0.000  0.85
In 0.808 0.425 0.649  0.00
In 0.767 0.425 0.351  0.00
In 0.707 0.925 0.851  0.00
In 0.368 0.925 0.149  0.00
In 0.596 0.807 0.500  -0.01
In 0.346 0.307 0.000  -0.01

---

# 4
CeIn4 | GGA-PBE | optimized geometry

Values from the calculation:
Polymorph energy (0 for the lowest one): 0.0 meV per atom
Energy of formation: -0.285 eV/atom
Fermi-level density of states: 7.060 states/eV/f.u.
SG: Imma, No. 74
Final energy: -3.6629 eV/atom
M_tot: 1.74 μB/cell

a b c (Å): 4.872 6.809 8.935
angles (deg): 112.40 105.82 90.00
Each line ends with the local moment (μB).
Fractional coordinates of all 10 atoms:
Ce 0.894 0.144 0.787  0.76
Ce 0.106 0.856 0.213  0.76
In 0.105 0.355 0.209  0.00
In 0.895 0.645 0.791  0.00
In 0.500 0.000 0.000  0.01
In 0.500 0.500 0.000  0.01
In 0.697 0.208 0.395  0.00
In 0.303 0.792 0.605  0.00
In 0.303 0.314 0.605  0.00
In 0.697 0.686 0.395  0.00

---

# 5
Ce8In3 | GGA-PBE | optimized geometry

Values from the calculation:
Energy of formation: -0.185 eV/atom
Fermi-level density of states: 29.348 states/eV/f.u.
SG: Immm, No. 71
Final energy: -5.2476 eV/atom
M_tot: 3.25 μB/cell

a b c (Å): 3.123 5.211 17.555
angles (deg): 98.53 95.10 90.00
Each line ends with the local moment (μB).
Fractional coordinates of all 11 atoms:
Ce 0.724 0.724 0.448  0.10
Ce 0.276 0.276 0.552  0.10
Ce 0.547 0.547 0.095  0.50
Ce 0.453 0.453 0.905  0.50
Ce 0.411 0.911 0.823  0.50
Ce 0.589 0.089 0.177  0.50
Ce 0.317 0.817 0.633  0.28
Ce 0.683 0.183 0.367  0.28
In 0.000 0.000 0.000  -0.01
In 0.135 0.635 0.270  -0.01
In 0.865 0.365 0.730  -0.01

---

# 6
Ce8In | GGA-PBE | optimized geometry

Values from the calculation:
Polymorph energy (0 for the lowest one): 0.0 meV per atom
Energy of formation: -0.043 eV/atom
Fermi-level density of states: 24.667 states/eV/f.u.
SG: I4/mmm, No. 139
Final energy: -5.6222 eV/atom
M_tot: 0.00 μB/cell

a b c (Å): 4.527 7.560 7.560
angles (deg): 84.86 72.58 72.58
Fractional coordinates of all 9 atoms:
Ce 0.328 0.000 0.343
Ce 0.672 0.000 0.657
Ce 0.672 0.328 0.328
Ce 0.328 0.343 0.000
Ce 0.000 0.328 0.672
Ce 0.672 0.657 0.000
Ce 0.328 0.672 0.672
Ce 0.000 0.672 0.328
In 0.000 0.000 0.000